--- w ---
This record from Alexandria via LeMat-Bulk describes crystalline Pr5Nd2Y3 at its relaxed geometry. The functional is PBE.

POSCAR file:
```
Pr5Nd2Y3
1.0
-5.677 -1.679 2.874
-0.827 -11.155 -0.615
1.228 1.772 10.993
Nd Pr Y
4 10 6
direct
0.084 0.747 0.085
0.584 0.085 0.747
0.916 0.253 0.915
0.416 0.915 0.253
0.250 0.500 0.500
0.997 0.753 0.753
0.003 0.247 0.247
0.750 0.500 0.500
0.257 0.912 0.573
0.757 0.573 0.912
0.743 0.088 0.427
0.243 0.427 0.088
0.497 0.753 0.753
0.503 0.247 0.247
0.091 0.241 0.577
0.409 0.423 0.759
0.750 0.000 0.000
0.250 0.000 0.000
0.909 0.759 0.423
0.591 0.577 0.241
```

Output
- SG: No. 72
- Crystal system: orthorhombic

--- x ---
This record from Alexandria via LeMat-Bulk describes crystalline Pr5Nd2Y3 at its relaxed geometry. The functional is PBE.

POSCAR file:
```
Pr5Nd2Y3
1.0
8.999 2.048 -4.356
0.540 9.184 -4.400
-2.329 -2.683 10.800
Pr Y Nd
10 6 4
direct
0.373 0.131 0.756
0.976 0.226 0.451
0.486 0.736 0.473
0.117 0.375 0.244
0.514 0.264 0.527
0.627 0.869 0.244
0.024 0.774 0.549
0.276 0.526 0.053
0.724 0.474 0.947
0.883 0.625 0.756
0.768 0.018 0.035
0.974 0.223 0.751
0.026 0.777 0.249
0.232 0.982 0.965
0.277 0.528 0.751
0.723 0.472 0.249
0.528 0.280 0.247
0.219 0.967 0.247
0.472 0.720 0.753
0.781 0.033 0.753
```

Output
- SG: No. 15
- Crystal system: monoclinic

Going by the energies, x is most stable and the next is 91 meV/atom up.

--- w ---
This record from Alexandria via LeMat-Bulk describes crystalline PrNdY6 at its relaxed geometry. The functional is PBE.

POSCAR file:
```
PrNdY6
1.0
-2.222 -5.175 -2.399
2.314 -0.892 5.597
-6.290 5.887 3.995
Nd Y Pr
1 6 1
direct
0.000 0.000 0.000
0.842 0.938 0.300
0.639 0.543 0.700
0.361 0.457 0.300
0.299 0.628 0.928
0.158 0.062 0.700
0.701 0.372 0.072
0.500 0.000 0.500
```

Output
- SG: No. 12
- Crystal system: monoclinic

--- x ---
This record from Alexandria via LeMat-Bulk describes crystalline PrNdY6 at its relaxed geometry. The functional is PBE.

POSCAR file:
```
PrNdY6
1.0
-2.030 0.009 -8.477
-0.864 -8.049 -5.378
-4.639 -3.114 -3.376
Nd Y Pr
1 6 1
direct
0.500 0.500 0.500
0.457 0.250 0.335
0.042 0.543 0.165
0.958 0.457 0.835
0.250 0.043 0.250
0.750 0.957 0.750
0.543 0.750 0.665
0.000 0.000 0.000
```

Output
- SG: No. 148
- Crystal system: trigonal

Going by the energies, x is most stable and the next is 227 meV/atom up.

--- w ---
This record from Alexandria via LeMat-Bulk describes crystalline Pr2Nd7Y3 at its relaxed geometry. The functional is PBE.

POSCAR file:
```
Pr2Nd7Y3
1.0
-1.131 -3.378 -1.134
2.770 -2.397 4.378
-16.521 3.496 12.369
Nd Y Pr
7 3 2
direct
0.069 0.500 0.133
0.589 0.000 0.172
0.715 0.500 0.432
0.000 0.000 0.000
0.285 0.500 0.568
0.411 0.000 0.828
0.931 0.500 0.867
0.500 0.500 0.000
0.825 0.000 0.656
0.175 0.000 0.344
0.644 0.500 0.278
0.356 0.500 0.722
```

Output
- SG: No. 10
- Crystal system: monoclinic

--- x ---
This record from Alexandria via LeMat-Bulk describes crystalline Pr2Nd7Y3 at its relaxed geometry. The functional is PBE.

POSCAR file:
```
Pr2Nd7Y3
1.0
3.670 0.000 0.000
0.000 5.960 0.247
0.000 -2.014 19.148
Nd Y Pr
7 3 2
direct
0.500 0.178 0.179
0.500 0.822 0.821
0.500 0.258 0.536
0.000 0.000 0.000
0.500 0.742 0.464
0.000 0.677 0.144
0.000 0.323 0.856
0.000 0.782 0.631
0.500 0.500 0.000
0.000 0.218 0.369
0.500 0.295 0.703
0.500 0.705 0.297
```

Output
- SG: No. 10
- Crystal system: monoclinic

Going by the energies, x is most stable and the next is 142 meV/atom up.

--- w ---
This record from Alexandria via LeMat-Bulk describes crystalline PrNd6Y3 at its relaxed geometry. The functional is PBE.

POSCAR file:
```
PrNd6Y3
1.0
-4.528 -4.333 -0.693
1.097 -2.880 10.847
-7.261 8.074 -3.041
Y Nd Pr
6 12 2
direct
0.964 0.058 0.285
0.464 0.942 0.715
0.580 0.615 0.385
0.080 0.385 0.615
0.964 0.715 0.942
0.464 0.285 0.058
0.901 0.040 0.960
0.375 0.053 0.472
0.875 0.472 0.053
0.401 0.960 0.040
0.139 0.719 0.281
0.875 0.947 0.528
0.540 0.625 0.709
0.040 0.709 0.625
0.639 0.281 0.719
0.540 0.291 0.375
0.040 0.375 0.291
0.375 0.528 0.947
0.609 0.802 0.198
0.109 0.198 0.802
```

Output
- SG: No. 36
- Crystal system: orthorhombic

--- x ---
This record from Alexandria via LeMat-Bulk describes crystalline PrNd6Y3 at its relaxed geometry. The functional is PBE.

POSCAR file:
```
PrNd6Y3
1.0
-1.376 2.887 -1.634
-5.801 -10.129 -13.011
-4.965 6.414 15.513
Y Nd Pr
6 12 2
direct
0.750 0.251 0.249
0.250 0.462 0.063
0.250 0.354 0.653
0.750 0.646 0.347
0.250 0.749 0.751
0.750 0.538 0.937
0.750 0.750 0.251
0.250 0.062 0.961
0.750 0.459 0.562
0.750 0.843 0.654
0.250 0.157 0.346
0.250 0.651 0.854
0.250 0.541 0.438
0.250 0.250 0.749
0.750 0.068 0.463
0.750 0.349 0.146
0.250 0.932 0.537
0.750 0.938 0.039
0.750 0.157 0.844
0.250 0.843 0.156
```

Output
- SG: No. 11
- Crystal system: monoclinic

Going by the energies, x is most stable and the next is 91 meV/atom up.

--- w ---
This record from Alexandria via LeMat-Bulk describes crystalline PrNdY5 at its relaxed geometry. The functional is PBE.

POSCAR file:
```
PrNdY5
1.0
6.428 0.070 -1.549
-1.069 6.339 -1.549
-0.106 -0.127 11.662
Y Pr Nd
10 2 2
direct
0.552 0.193 0.164
0.912 0.588 0.750
0.088 0.412 0.250
0.931 0.229 0.464
0.693 0.052 0.664
0.729 0.431 0.964
0.069 0.771 0.536
0.307 0.948 0.336
0.271 0.569 0.036
0.448 0.807 0.836
0.000 0.000 0.000
0.500 0.500 0.500
0.742 0.758 0.250
0.258 0.242 0.750
```

Output
- SG: No. 15
- Crystal system: monoclinic

--- x ---
This record from Alexandria via LeMat-Bulk describes crystalline PrNdY5 at its relaxed geometry. The functional is PBE.

POSCAR file:
```
PrNdY5
1.0
-1.693 -5.506 -0.688
6.116 -4.983 0.373
0.383 -4.022 6.786
Y Pr Nd
5 1 1
direct
0.000 0.500 0.500
0.748 0.252 0.252
0.252 0.748 0.748
0.500 0.821 0.179
0.500 0.179 0.821
0.000 0.000 0.000
0.500 0.500 0.500
```

Output
- SG: No. 71
- Crystal system: orthorhombic

Going by the energies, w is most stable and the next is 976 meV/atom up.

--- w ---
This record from Alexandria via LeMat-Bulk describes crystalline Pr2Nd5Y3 at its relaxed geometry. The functional is PBE.

POSCAR file:
```
Pr2Nd5Y3
1.0
6.565 0.000 0.000
3.283 10.354 -2.643
3.283 -1.014 10.638
Nd Y Pr
10 6 4
direct
0.998 0.752 0.752
0.240 0.427 0.092
0.740 0.092 0.427
0.750 0.500 0.500
0.760 0.573 0.908
0.250 0.500 0.500
0.002 0.248 0.248
0.502 0.248 0.248
0.260 0.908 0.573
0.498 0.752 0.752
0.407 0.425 0.761
0.093 0.239 0.575
0.750 0.000 0.000
0.593 0.575 0.239
0.907 0.761 0.425
0.250 0.000 0.000
0.914 0.255 0.916
0.086 0.745 0.084
0.586 0.084 0.745
0.414 0.916 0.255
```

Output
- SG: No. 72
- Crystal system: orthorhombic

--- x ---
This record from Alexandria via LeMat-Bulk describes crystalline Pr2Nd5Y3 at its relaxed geometry. The functional is PBE.

POSCAR file:
```
Pr2Nd5Y3
1.0
-8.097 2.972 5.083
-8.544 -1.239 -5.163
7.581 -7.834 2.936
Nd Y Pr
10 6 4
direct
0.124 0.384 0.244
0.280 0.530 0.060
0.515 0.265 0.529
0.976 0.226 0.451
0.720 0.470 0.940
0.620 0.860 0.244
0.876 0.616 0.756
0.024 0.774 0.549
0.485 0.735 0.471
0.380 0.140 0.756
0.232 0.982 0.965
0.018 0.779 0.248
0.982 0.221 0.752
0.271 0.531 0.752
0.729 0.469 0.248
0.768 0.018 0.035
0.530 0.276 0.248
0.470 0.724 0.752
0.782 0.028 0.752
0.218 0.972 0.248
```

Output
- SG: No. 15
- Crystal system: monoclinic

Going by the energies, x is most stable and the next is 84 meV/atom up.

--- w ---
This record from Alexandria via LeMat-Bulk describes crystalline Pr3NdY7 at its relaxed geometry. The functional is PBE.

POSCAR file:
```
Pr3NdY7
1.0
8.788 0.000 0.001
0.000 7.162 0.000
0.001 -3.581 6.202
Y Pr Nd
7 3 1
direct
0.122 0.667 0.333
0.446 0.833 0.167
0.446 0.833 0.665
0.120 0.666 0.833
0.120 0.167 0.334
0.446 0.335 0.167
0.120 0.167 0.833
0.784 0.500 0.500
0.784 0.500 0.000
0.784 0.000 0.500
0.445 0.333 0.667
```

Output
- SG: No. 156
- Crystal system: trigonal

--- x ---
This record from Alexandria via LeMat-Bulk describes crystalline Pr3NdY7 at its relaxed geometry. The functional is PBE.

POSCAR file:
```
Pr3NdY7
1.0
4.751 -0.116 -2.961
-1.047 9.969 -2.067
-1.079 -0.780 8.881
Y Pr Nd
7 3 1
direct
0.088 0.170 0.088
0.318 0.636 0.818
0.912 0.830 0.912
0.682 0.364 0.182
0.500 0.000 0.500
0.143 0.287 0.643
0.857 0.713 0.357
0.000 0.500 0.000
0.283 0.001 0.784
0.717 0.999 0.216
0.500 0.500 0.500
```

Output
- SG: No. 10
- Crystal system: monoclinic

Going by the energies, x is most stable and the next is 37 meV/atom up.

--- w ---
This record from Alexandria via LeMat-Bulk describes crystalline Pr5Nd2Y12 at its relaxed geometry. The functional is PBE.

POSCAR file:
```
Pr5Nd2Y12
1.0
7.152 0.000 0.000
-3.576 8.645 3.395
0.000 -0.123 10.466
Pr Y Nd
5 12 2
direct
0.188 0.377 0.814
0.679 0.359 0.788
0.000 0.000 0.500
0.321 0.641 0.212
0.812 0.623 0.186
0.585 0.675 0.522
0.496 0.992 0.673
0.912 0.318 0.131
0.976 0.951 0.244
0.910 0.325 0.478
0.415 0.325 0.478
0.594 0.682 0.869
0.504 0.008 0.327
0.090 0.675 0.522
0.406 0.318 0.131
0.024 0.049 0.756
0.088 0.682 0.869
0.720 0.000 0.000
0.280 0.000 0.000
```

Output
- SG: No. 12
- Crystal system: monoclinic

--- x ---
This record from Alexandria via LeMat-Bulk describes crystalline Pr5Nd2Y12 at its relaxed geometry. The functional is PBE.

POSCAR file:
```
Pr5Nd2Y12
1.0
7.223 0.000 0.000
-3.612 10.099 -10.526
0.000 -6.155 15.302
Y Nd Pr
12 2 5
direct
0.982 0.441 0.050
0.049 0.607 0.394
0.459 0.441 0.050
0.041 0.083 0.891
0.541 0.082 0.885
0.559 0.607 0.394
0.951 0.393 0.606
0.441 0.393 0.606
0.018 0.559 0.950
0.459 0.918 0.115
0.959 0.917 0.109
0.541 0.559 0.950
0.750 0.000 0.000
0.250 0.000 0.000
0.249 0.499 0.499
0.751 0.501 0.501
0.499 0.997 0.402
0.501 0.003 0.598
0.000 0.000 0.500
```

Output
- SG: No. 12
- Crystal system: monoclinic

Going by the energies, x is most stable and the next is 58 meV/atom up.

--- w ---
This record from Alexandria via LeMat-Bulk describes crystalline PrNd3Y7 at its relaxed geometry. The functional is PBE.

POSCAR file:
```
PrNd3Y7
1.0
-3.050 -7.742 2.763
4.069 0.490 5.864
-6.652 2.633 0.032
Y Nd Pr
7 3 1
direct
0.119 0.167 0.334
0.119 0.666 0.833
0.446 0.833 0.665
0.446 0.335 0.167
0.119 0.167 0.833
0.121 0.667 0.333
0.446 0.833 0.167
0.784 0.500 0.500
0.784 0.500 0.001
0.784 0.999 0.500
0.447 0.333 0.667
```

Output
- SG: No. 156
- Crystal system: trigonal

--- x ---
This record from Alexandria via LeMat-Bulk describes crystalline PrNd3Y7 at its relaxed geometry. The functional is PBE.

POSCAR file:
```
PrNd3Y7
1.0
-2.760 1.857 -4.500
6.255 -5.317 -6.027
-2.774 -5.781 6.269
Y Nd Pr
7 3 1
direct
0.143 0.287 0.643
0.500 0.000 0.500
0.916 0.830 0.916
0.084 0.170 0.084
0.320 0.637 0.820
0.680 0.363 0.180
0.857 0.713 0.357
0.000 0.500 0.000
0.717 0.000 0.217
0.283 0.000 0.783
0.500 0.500 0.500
```

Output
- SG: No. 10
- Crystal system: monoclinic

Going by the energies, x is most stable and the next is 43 meV/atom up.